No. 1
## Re3Tc4 (PBE)

Data for a relaxed Re3Tc4 crystal.

Results
Calculated total energy ... -76.90 eV/cell
Energy above the lowest structure with this stoichiometry ... 20.3 kJ per mole of atoms
SG ... No. 139
Energy of formation ... 0.273 eV/atom
N(E_F) ... 8.2 states/eV/cell
Crystal system ... tetragonal

a b c (Å): 10.6298 10.6298 10.6298
angles (deg): 162.83 162.83 24.38
Closest atoms and distances in Å follow each position.
Positions (direct):
Re 0.0000 0.0000 0.0000  8 Tc 2.66
Re 0.2871 0.2871 0.0000  5 Tc 2.65-2.95, 4 Re 2.72
Re 0.7129 0.7129 0.0000  5 Tc 2.65-2.95, 4 Re 2.72
Tc 0.1451 0.1451 0.0000  5 Re 2.65-2.95, 4 Tc 2.74
Tc 0.4309 0.4309 0.0000  4 Re 2.66, 5 Tc 2.74-2.87
Tc 0.5691 0.5691 0.0000  4 Re 2.66, 5 Tc 2.74-2.87
Tc 0.8549 0.8549 0.0000  5 Re 2.65-2.95, 4 Tc 2.74

No. 2
## LiMg2Te2 (PBE)

Data for a relaxed LiMg2Te2 crystal.

Results
Calculated total energy ... -28.76 eV/cell
Energy above the lowest structure with this stoichiometry ... 0.0 kJ per mole of atoms
SG ... No. 127
Uncorrected formation energy ... -0.599 eV per atom
N(E_F) ... 2.0 states/eV/cell
Crystal system ... tetragonal

a b c (Å): 7.9324 7.9324 4.0324
angles (deg): 90.00 90.00 90.00
Closest atoms and distances in Å follow each position.
Positions (direct):
Li 0.0000 0.0000 0.0000  4 Te 2.93
Li 0.5000 0.5000 0.0000  4 Te 2.93
Mg 0.1362 0.3638 0.5000  6 Te 2.93-3.20, 1 Mg 3.06
Mg 0.3638 0.8638 0.5000  6 Te 2.93-3.20, 1 Mg 3.06
Mg 0.6362 0.1362 0.5000  6 Te 2.93-3.20, 1 Mg 3.06
Mg 0.8638 0.6362 0.5000  6 Te 2.93-3.20, 1 Mg 3.06
Te 0.1745 0.6745 0.0000  6 Mg 2.93-3.20, 2 Li 2.93
Te 0.3255 0.1745 0.0000  6 Mg 2.93-3.20, 2 Li 2.93
Te 0.6745 0.8255 0.0000  6 Mg 2.93-3.20, 2 Li 2.93
Te 0.8255 0.3255 0.0000  6 Mg 2.93-3.20, 2 Li 2.93

No. 3
## SmZr2Ni (PBE)

Data for a relaxed SmZr2Ni crystal.

Results
Calculated total energy ... -27.23 eV/cell
SG ... No. 160
Energy of formation ... 0.092 eV/atom
N(E_F) ... 5.3 states/eV/cell
Crystal system ... trigonal

a b c (Å): 7.2255 7.2255 7.2255
angles (deg): 32.59 32.59 32.59
Closest atoms and distances in Å follow each position.
Positions (direct):
Sm 0.0000 0.0000 0.0000  6 Zr 3.28-3.33, 1 Ni 3.52
Zr 0.5548 0.5548 0.5548  3 Ni 2.56
Zr 0.7825 0.7825 0.7825  3 Ni 2.61
Ni 0.1715 0.1715 0.1715  6 Zr 2.56-2.61

No. 4
## LaY2Ru (PBE)

Data for a relaxed LaY2Ru crystal.

Results
Calculated total energy ... -27.54 eV/cell
Energy above the lowest structure with this stoichiometry ... 18.0 kJ per mole of atoms
SG ... No. 6
Energy of formation ... -0.103 eV/atom
N(E_F) ... 4.9 states/eV/cell
Crystal system ... monoclinic

a b c (Å): 3.4820 3.4813 9.3339
angles (deg): 90.00 90.12 90.00
Closest atoms and distances in Å follow each position.
Positions (direct):
La 0.0000 0.0000 0.0000  4 Ru 3.03
Y 0.4968 0.5000 0.3320  8 Y 3.48-3.75
Y 0.9981 0.0000 0.6347  4 Ru 2.96
Ru 0.4996 0.5000 0.8110  4 Y 2.96, 4 La 3.03